No. 1
Compound: TlMoAs3
Source: Alexandria via LeMat-Bulk
Functional: GGA-PBE
Structure: relaxed

a = 4.969 Å, b = 4.969 Å, c = 4.969 Å
α = 90.00°, β = 90.00°, γ = 90.00°
Space group Pm-3m (No. 221)
Symmetry-distinct sites (fractional):
Tl: 0.000 0.000 0.000 (multiplicity 1)
Mo: 0.500 0.500 0.500 (multiplicity 1)
As: 0.000 0.500 0.500 (multiplicity 3)

Properties
The energy relative to the elements is 0.257 eV per atom. The energy relative to the lowest polymorph listed for this composition is 0 meV per atom.



No. 2
Compound: ThNp4Pd15
Source: Alexandria via LeMat-Bulk
Functional: GGA-PBE
Structure: relaxed

a = 4.171 Å, b = 4.171 Å, c = 20.761 Å
α = 90.00°, β = 90.00°, γ = 90.00°
Space group P4/mmm (No. 123)
Symmetry-distinct sites (fractional):
Th: 0.000 0.000 0.000 (multiplicity 1)
Np: 0.000 0.000 0.203 (multiplicity 2)
Np: 0.000 0.000 0.401 (multiplicity 2)
Pd: 0.000 0.500 0.101 (multiplicity 4)
Pd: 0.000 0.500 0.301 (multiplicity 4)
Pd: 0.000 0.500 0.500 (multiplicity 2)
Pd: 0.500 0.500 0.000 (multiplicity 1)
Pd: 0.500 0.500 0.201 (multiplicity 2)
Pd: 0.500 0.500 0.401 (multiplicity 2)

Properties
The energy relative to the elements is -0.545 eV per atom.



No. 3
Compound: SmHgPtAu
Source: Alexandria via LeMat-Bulk
Functional: GGA-PBE
Structure: relaxed

a = 7.003 Å, b = 7.003 Å, c = 7.003 Å
α = 90.00°, β = 90.00°, γ = 90.00°
Space group F-43m (No. 216)
Symmetry-distinct sites (fractional):
Sm: 0.000 0.000 0.000 (multiplicity 4)
Hg: 0.000 0.000 0.500 (multiplicity 4)
Pt: 0.250 0.250 0.750 (multiplicity 4)
Au: 0.250 0.250 0.250 (multiplicity 4)

Properties
The energy relative to the elements is -0.626 eV per atom.



No. 4
Compound: In3BiSe
Source: Alexandria via LeMat-Bulk
Functional: GGA-PBE
Structure: relaxed

a = 5.516 Å, b = 5.516 Å, c = 5.516 Å
α = 90.00°, β = 90.00°, γ = 90.00°
Space group Pm-3m (No. 221)
Symmetry-distinct sites (fractional):
In: 0.000 0.000 0.500 (multiplicity 3)
Bi: 0.500 0.500 0.500 (multiplicity 1)
Se: 0.000 0.000 0.000 (multiplicity 1)

Properties
The energy relative to the lowest polymorph listed for this composition is 369 meV per atom. Its raw formation energy is 110 kJ/mol of formula units.



No. 5
Compound: Ac3Tm5Se12
Source: Alexandria via LeMat-Bulk
Functional: GGA-PBE
Structure: relaxed

a = 17.202 Å, b = 17.202 Å, c = 17.202 Å
α = 90.00°, β = 90.00°, γ = 90.00°
Space group Ia-3d (No. 230)
Symmetry-distinct sites (fractional):
Ac: 0.000 0.250 0.125 (multiplicity 24)
Tm: 0.000 0.000 0.000 (multiplicity 16)
Tm: 0.000 0.250 0.375 (multiplicity 24)
Se: 0.025 0.063 0.650 (multiplicity 96)

Properties
Its raw formation energy is -3539 kJ/mol of formula units.



No. 6
Compound: Zr2TlRh
Source: Alexandria via LeMat-Bulk
Functional: GGA-PBE
Structure: relaxed

a = 6.848 Å, b = 6.848 Å, c = 6.848 Å
α = 90.00°, β = 90.00°, γ = 90.00°
Space group F-43m (No. 216)
Symmetry-distinct sites (fractional):
Zr: 0.000 0.000 0.000 (multiplicity 4)
Zr: 0.250 0.250 0.250 (multiplicity 4)
Tl: 0.250 0.250 0.750 (multiplicity 4)
Rh: 0.000 0.000 0.500 (multiplicity 4)

Properties
The energy relative to the elements is -0.092 eV per atom.



No. 7
Compound: AcSiS6
Source: Alexandria via LeMat-Bulk
Functional: GGA-PBE
Structure: relaxed

a = 10.251 Å, b = 10.251 Å, c = 10.251 Å
α = 90.00°, β = 90.00°, γ = 90.00°
Space group Fm-3m (No. 225)
Symmetry-distinct sites (fractional):
Ac: 0.000 0.000 0.000 (multiplicity 4)
Si: 0.000 0.000 0.500 (multiplicity 4)
S: 0.000 0.000 0.286 (multiplicity 24)

Properties
Its raw formation energy is -101 kJ/mol of formula units.



No. 8
Compound: RbBaNa2Pd
Source: Alexandria via LeMat-Bulk
Functional: GGA-PBE
Structure: relaxed

a = 6.103 Å, b = 6.103 Å, c = 5.987 Å
α = 90.00°, β = 90.00°, γ = 90.00°
Space group P4/mmm (No. 123)
Symmetry-distinct sites (fractional):
Rb: 0.000 0.000 0.000 (multiplicity 1)
Ba: 0.500 0.500 0.000 (multiplicity 1)
Na: 0.000 0.500 0.500 (multiplicity 2)
Pd: 0.500 0.500 0.500 (multiplicity 1)

Properties
The energy relative to the elements is -0.039 eV per atom.



No. 9
Compound: BiOs2Br
Source: Alexandria via LeMat-Bulk
Functional: GGA-PBE
Structure: relaxed

a = 4.624 Å, b = 4.624 Å, c = 16.185 Å
α = 90.00°, β = 90.00°, γ = 90.00°
Space group I-42d (No. 122)
Symmetry-distinct sites (fractional):
Bi: 0.000 0.000 0.000 (multiplicity 4)
Os: 0.150 0.250 0.625 (multiplicity 8)
Br: 0.000 0.000 0.500 (multiplicity 4)

Properties
The energy relative to the lowest polymorph listed for this composition is 0 meV per atom. Its raw formation energy is 473 kJ/mol of formula units.



No. 10
Compound: BaScAl2Os
Source: Alexandria via LeMat-Bulk
Functional: GGA-PBE
Structure: relaxed

a = 4.939 Å, b = 4.939 Å, c = 5.066 Å
α = 90.00°, β = 90.00°, γ = 90.00°
Space group P4/mmm (No. 123)
Symmetry-distinct sites (fractional):
Ba: 0.000 0.000 0.000 (multiplicity 1)
Sc: 0.500 0.500 0.000 (multiplicity 1)
Al: 0.000 0.500 0.500 (multiplicity 2)
Os: 0.500 0.500 0.500 (multiplicity 1)

Properties
The energy relative to the elements is -0.255 eV per atom.



No. 11
Compound: TbPm2Cd2
Source: Alexandria via LeMat-Bulk
Functional: GGA-PBE
Structure: relaxed

a = 3.771 Å, b = 5.415 Å, c = 14.207 Å
α = 90.00°, β = 97.63°, γ = 90.00°
Space group P2_1/m (No. 11)
Symmetry-distinct sites (fractional):
Tb: 0.150 0.250 0.298 (multiplicity 2)
Pm: 0.045 0.750 0.088 (multiplicity 2)
Pm: 0.234 0.750 0.470 (multiplicity 2)
Cd: 0.361 0.250 0.722 (multiplicity 2)
Cd: 0.444 0.750 0.889 (multiplicity 2)

Properties
The energy relative to the elements is -0.252 eV per atom. The energy relative to the lowest polymorph listed for this composition is 0 meV per atom.



No. 12
Compound: CsRbPuBr6
Source: Alexandria via LeMat-Bulk
Functional: GGA-PBE
Structure: relaxed

a = 8.4589 Å, b = 8.4589 Å, c = 13.9700 Å
α = 90.00°, β = 90.00°, γ = 120.00°
Space group P-31c (No. 163)
Symmetry-distinct sites (fractional):
Cs: 0.0000 0.0000 0.0000 (multiplicity 2)
Rb: 0.3333 0.6667 0.2500 (multiplicity 2)
Pu: 0.3333 0.6667 0.7500 (multiplicity 2)
Br: 0.0630 0.4022 0.6351 (multiplicity 12)

Properties
Its raw formation energy is -1350 kJ/mol of formula units.